KTlPb | PBE-GGA | optimized geometry

Cell: 4.991 5.005 8.904 Å, 90.00 90.00 90.00°
Atoms (fractional coordinates):
K1 0.250 0.250 0.166
K2 0.750 0.750 0.834
Tl1 0.250 0.250 0.742
Tl2 0.750 0.750 0.258
Pb1 0.250 0.750 0.500
Pb2 0.750 0.250 0.500

As for the calculated formation energy: -16.3 kJ per mole of atoms. The total energy comes out at -15.36 eV per cell. The value obtained for the total magnetic moment is 0.00 μB per formula unit. Its density of states at the Fermi level is 0.26 states/eV per atom.

K3TlPb | PBE-GGA | optimized geometry

Cell: 8.989 8.989 8.989 Å, 83.74 121.75 125.65°
Atoms (fractional coordinates):
K1 0.179 0.003 0.676
K2 0.249 0.013 0.262
K3 0.249 0.487 0.737
K4 0.327 0.503 0.324
K5 0.751 0.513 0.263
K6 0.751 0.987 0.738
Tl1 0.248 0.750 0.998
Tl2 0.753 0.250 0.002
Pb1 0.737 0.498 0.739
Pb2 0.759 0.998 0.261

As for the calculated formation energy: -0.4 kJ per mole of atoms. The total energy comes out at -18.77 eV per cell. The value obtained for the total magnetic moment is 0.00 μB per formula unit. Its density of states at the Fermi level is 0.48 states/eV per atom.

K2TlPb | PBE-GGA | optimized geometry

Cell: 6.472 6.472 6.472 Å, 131.37 131.37 71.23°
Atoms (fractional coordinates):
K1 0.250 0.750 0.500
K2 0.750 0.250 0.500
Tl1 0.000 0.000 0.000
Pb1 0.500 0.500 0.000

As for the calculated formation energy: -1.6 kJ per mole of atoms. The total energy comes out at -8.33 eV per cell. The value obtained for the total magnetic moment is 0.00 μB per formula unit. Its density of states at the Fermi level is 0.42 states/eV per atom.

K2TlPb | PBE-GGA | optimized geometry

Cell: 3.795 5.555 7.060 Å, 90.00 98.21 90.00°
Atoms (fractional coordinates):
K1 0.000 0.000 0.000
K2 0.184 0.500 0.653
Tl1 0.616 0.000 0.459
Pb1 0.569 0.500 0.199

As for the calculated formation energy: -8.3 kJ per mole of atoms. The total energy comes out at -8.61 eV per cell. The value obtained for the total magnetic moment is 0.00 μB per formula unit. Its density of states at the Fermi level is 0.41 states/eV per atom.

no.,excess energy over the best structure of this formula in the dataset (meV per atom)
1,0
2,114
3,106
4,36